Below is a relaxed structure of ScFe2Cu, with properties calculated at the PBE level.

Geometry as CIF:
```
data_ScFe2Cu
_chemical_formula_sum 'Sc2 Fe4 Cu2'
_cell_length_a 3.6373
_cell_length_b 3.6373
_cell_length_c 9.3877
_cell_angle_alpha 78.83
_cell_angle_beta 78.83
_cell_angle_gamma 90.00
_symmetry_space_group_name_H-M 'P 1'
_symmetry_Int_Tables_number 1
loop_
_symmetry_equiv_pos_as_xyz
'x,y,z'
loop_
_atom_site_label
_atom_site_type_symbol
_atom_site_fract_x
_atom_site_fract_y
_atom_site_fract_z
_atom_site_occupancy
Sc1 Sc 0.5000 0.5000 0.0000 1
Sc2 Sc 0.2500 0.7500 0.5000 1
Fe1 Fe 0.3750 0.3621 0.7500 1
Fe2 Fe 0.6379 0.1250 0.2500 1
Fe3 Fe 0.1121 0.6250 0.2500 1
Fe4 Fe 0.8750 0.8879 0.7500 1
Cu1 Cu 0.0000 0.0000 0.0000 1
Cu2 Cu 0.7500 0.2500 0.5000 1
```

Summary:
Calculated total energy = -6.51 eV per atom
Formation energy = 1.30 eV per formula unit
Space-group type = I-42d, No. 122
Total magnetic moment = 4.17 μB/f.u.



Below is a relaxed structure of TlCuOs, with properties calculated at the PBE level.

Geometry as CIF:
```
data_TlCuOs
_chemical_formula_sum 'Tl1 Cu1 Os1'
_cell_length_a 7.3979
_cell_length_b 7.1113
_cell_length_c 2.9187
_cell_angle_alpha 83.97
_cell_angle_beta 72.93
_cell_angle_gamma 23.10
_symmetry_space_group_name_H-M 'P 1'
_symmetry_Int_Tables_number 1
loop_
_symmetry_equiv_pos_as_xyz
'x,y,z'
loop_
_atom_site_label
_atom_site_type_symbol
_atom_site_fract_x
_atom_site_fract_y
_atom_site_fract_z
_atom_site_occupancy
Os1 Os 0.3436 0.3436 0.6564 1
Cu1 Cu 0.9922 0.9922 0.0078 1
Tl1 Tl 0.6642 0.6642 0.3358 1
```

Summary:
Calculated total energy = -5.01 eV per atom
Offset from the most stable computed form = 5.4 kJ/mol of atoms
Formation energy = 2.66 eV per formula unit
Space-group type = Fmm2, No. 42
Total magnetic moment = 0.72 μB/f.u.



Below is a relaxed structure of PtPbW2, with properties calculated at the PBE level.

Geometry as CIF:
```
data_PtPbW2
_chemical_formula_sum 'Pt1 Pb1 W2'
_cell_length_a 4.1771
_cell_length_b 2.8461
_cell_length_c 6.6299
_cell_angle_alpha 71.13
_cell_angle_beta 90.00
_cell_angle_gamma 90.00
_symmetry_space_group_name_H-M 'P 1'
_symmetry_Int_Tables_number 1
loop_
_symmetry_equiv_pos_as_xyz
'x,y,z'
loop_
_atom_site_label
_atom_site_type_symbol
_atom_site_fract_x
_atom_site_fract_y
_atom_site_fract_z
_atom_site_occupancy
Pb1 Pb 0.5000 0.2500 0.2500 1
W1 W 0.0000 0.3935 0.5475 1
W2 W 0.0000 0.1065 0.9525 1
Pt1 Pt 0.5000 0.7500 0.7500 1
```

Summary:
Calculated total energy = -8.32 eV per atom
Formation energy = 2.38 eV per formula unit
Space-group type = P2/m, No. 10
Total magnetic moment = 0.00 μB/f.u.



Below is a relaxed structure of PmPr2Cd4, with properties calculated at the PBE level.

Geometry as CIF:
```
data_PmPr2Cd4
_chemical_formula_sum 'Pm1 Pr2 Cd4'
_cell_length_a 5.4512
_cell_length_b 5.4512
_cell_length_c 8.1551
_cell_angle_alpha 109.53
_cell_angle_beta 109.53
_cell_angle_gamma 90.00
_symmetry_space_group_name_H-M 'P 1'
_symmetry_Int_Tables_number 1
loop_
_symmetry_equiv_pos_as_xyz
'x,y,z'
loop_
_atom_site_label
_atom_site_type_symbol
_atom_site_fract_x
_atom_site_fract_y
_atom_site_fract_z
_atom_site_occupancy
Pm1 Pm 0.0000 0.0000 0.0000 1
Cd1 Cd 0.8885 0.3885 0.7769 1
Cd2 Cd 0.1115 0.6115 0.2231 1
Cd3 Cd 0.6115 0.1115 0.2231 1
Cd4 Cd 0.3885 0.8885 0.7769 1
Pr1 Pr 0.2628 0.2628 0.5255 1
Pr2 Pr 0.7372 0.7372 0.4745 1
```

Summary:
Calculated total energy = -2.74 eV per atom
Offset from the most stable computed form = 0.0 kJ/mol of atoms
Formation energy = -1.19 eV per formula unit
Space-group type = I4/mmm, No. 139
Total magnetic moment = 0.38 μB/f.u.



Below is a relaxed structure of SiRh3Se, with properties calculated at the PBE level.

Geometry as CIF:
```
data_SiRh3Se
_chemical_formula_sum 'Si1 Rh3 Se1'
_cell_length_a 4.4482
_cell_length_b 4.4482
_cell_length_c 4.4482
_cell_angle_alpha 90.00
_cell_angle_beta 90.00
_cell_angle_gamma 90.00
_symmetry_space_group_name_H-M 'P 1'
_symmetry_Int_Tables_number 1
loop_
_symmetry_equiv_pos_as_xyz
'x,y,z'
loop_
_atom_site_label
_atom_site_type_symbol
_atom_site_fract_x
_atom_site_fract_y
_atom_site_fract_z
_atom_site_occupancy
Rh1 Rh 0.0000 0.5000 0.0000 1
Rh2 Rh 0.0000 0.0000 0.5000 1
Rh3 Rh 0.5000 0.0000 0.0000 1
Si1 Si 0.0000 0.0000 0.0000 1
Se1 Se 0.5000 0.5000 0.5000 1
```

Summary:
Calculated total energy = -5.83 eV per atom
Offset from the most stable computed form = 0.0 kJ/mol of atoms
Space-group type = Pm-3m, No. 221
Total magnetic moment = 0.98 μB/f.u.
Energy relative to the elements, uncorrected = 0.37 eV per atom



Below is a relaxed structure of SbS2Br, with properties calculated at the PBE level.

Geometry as CIF:
```
data_SbS2Br
_chemical_formula_sum 'Sb1 S2 Br1'
_cell_length_a 8.1754
_cell_length_b 8.1754
_cell_length_c 8.1754
_cell_angle_alpha 29.23
_cell_angle_beta 29.23
_cell_angle_gamma 29.23
_symmetry_space_group_name_H-M 'P 1'
_symmetry_Int_Tables_number 1
loop_
_symmetry_equiv_pos_as_xyz
'x,y,z'
loop_
_atom_site_label
_atom_site_type_symbol
_atom_site_fract_x
_atom_site_fract_y
_atom_site_fract_z
_atom_site_occupancy
Sb1 Sb 0.5000 0.5000 0.5000 1
S1 S 0.1049 0.1049 0.1049 1
S2 S 0.8951 0.8951 0.8951 1
Br1 Br 0.0000 0.0000 0.0000 1
```

Summary:
Calculated total energy = -3.53 eV per atom
Offset from the most stable computed form = 0.0 kJ/mol of atoms
Space-group type = R-3m, No. 166
Total magnetic moment = 0.00 μB/f.u.
Energy relative to the elements, uncorrected = -0.02 eV per atom



Below is a relaxed structure of RbTh2AgS5, with properties calculated at the PBE level.

Geometry as CIF:
```
data_RbTh2AgS5
_chemical_formula_sum 'Rb2 Th4 Ag2 S10'
_cell_length_a 7.9265
_cell_length_b 7.9265
_cell_length_c 9.2909
_cell_angle_alpha 115.25
_cell_angle_beta 115.25
_cell_angle_gamma 90.00
_symmetry_space_group_name_H-M 'P 1'
_symmetry_Int_Tables_number 1
loop_
_symmetry_equiv_pos_as_xyz
'x,y,z'
loop_
_atom_site_label
_atom_site_type_symbol
_atom_site_fract_x
_atom_site_fract_y
_atom_site_fract_z
_atom_site_occupancy
Th1 Th 0.6654 0.1654 0.0000 1
Th2 Th 0.3346 0.8346 0.0000 1
Th3 Th 0.8346 0.6654 0.0000 1
Th4 Th 0.1654 0.3346 0.0000 1
S1 S 0.0000 0.0000 0.0000 1
S2 S 0.9727 0.4727 0.2328 1
S3 S 0.2600 0.7600 0.2328 1
S4 S 0.0273 0.5273 0.7672 1
S5 S 0.7400 0.2400 0.7672 1
S6 S 0.5000 0.5000 0.0000 1
S7 S 0.7600 0.9727 0.2328 1
S8 S 0.5273 0.7400 0.7672 1
S9 S 0.2400 0.0273 0.7672 1
S10 S 0.4727 0.2600 0.2328 1
Rb1 Rb 0.7500 0.7500 0.5000 1
Rb2 Rb 0.2500 0.2500 0.5000 1
Ag1 Ag 0.7500 0.2500 0.5000 1
Ag2 Ag 0.2500 0.7500 0.5000 1
```

Summary:
Calculated total energy = -5.92 eV per atom
Space-group type = I4/mcm, No. 140
Total magnetic moment = 0.00 μB/f.u.
Energy relative to the elements, uncorrected = -1.55 eV per atom



Below is a relaxed structure of Pr11Dy9Th4, with properties calculated at the PBE level.

Geometry as CIF:
```
data_Pr11Dy9Th4
_chemical_formula_sum 'Pr11 Dy9 Th4'
_cell_length_a 3.7133
_cell_length_b 15.5742
_cell_length_c 15.5742
_cell_angle_alpha 112.97
_cell_angle_beta 90.00
_cell_angle_gamma 90.00
_symmetry_space_group_name_H-M 'P 1'
_symmetry_Int_Tables_number 1
loop_
_symmetry_equiv_pos_as_xyz
'x,y,z'
loop_
_atom_site_label
_atom_site_type_symbol
_atom_site_fract_x
_atom_site_fract_y
_atom_site_fract_z
_atom_site_occupancy
Pr1 Pr 0.0000 0.5924 0.9553 1
Pr2 Pr 0.0000 0.8418 0.1582 1
Pr3 Pr 0.0000 0.9553 0.5924 1
Pr4 Pr 0.0000 0.1582 0.8418 1
Pr5 Pr 0.0000 0.6312 0.3688 1
Pr6 Pr 0.0000 0.0000 0.0000 1
Pr7 Pr 0.0000 0.7060 0.7060 1
Pr8 Pr 0.0000 0.0447 0.4076 1
Pr9 Pr 0.0000 0.3688 0.6312 1
Pr10 Pr 0.0000 0.2940 0.2940 1
Pr11 Pr 0.0000 0.4076 0.0447 1
Dy1 Dy 0.5000 0.1640 0.6340 1
Dy2 Dy 0.5000 0.9333 0.7883 1
Dy3 Dy 0.5000 0.7883 0.9333 1
Dy4 Dy 0.5000 0.0667 0.2117 1
Dy5 Dy 0.5000 0.3660 0.8360 1
Dy6 Dy 0.5000 0.8360 0.3660 1
Dy7 Dy 0.5000 0.2117 0.0667 1
Dy8 Dy 0.5000 0.5000 0.5000 1
Dy9 Dy 0.5000 0.6340 0.1640 1
Th1 Th 0.5000 0.7602 0.5553 1
Th2 Th 0.5000 0.5553 0.7602 1
Th3 Th 0.5000 0.4447 0.2398 1
Th4 Th 0.5000 0.2398 0.4447 1
```

Summary:
Calculated total energy = -5.04 eV per atom
Formation energy = 2.77 eV per formula unit
Space-group type = Cmmm, No. 65
Total magnetic moment = 0.00 μB/f.u.



Below is a relaxed structure of ReAuSe4, with properties calculated at the PBE level.

Geometry as CIF:
```
data_ReAuSe4
_chemical_formula_sum 'Re1 Au1 Se4'
_cell_length_a 5.6214
_cell_length_b 5.6214
_cell_length_c 5.6214
_cell_angle_alpha 60.00
_cell_angle_beta 60.00
_cell_angle_gamma 60.00
_symmetry_space_group_name_H-M 'P 1'
_symmetry_Int_Tables_number 1
loop_
_symmetry_equiv_pos_as_xyz
'x,y,z'
loop_
_atom_site_label
_atom_site_type_symbol
_atom_site_fract_x
_atom_site_fract_y
_atom_site_fract_z
_atom_site_occupancy
Se1 Se 0.8763 0.3746 0.3746 1
Se2 Se 0.3746 0.8763 0.3746 1
Se3 Se 0.3746 0.3746 0.8763 1
Se4 Se 0.3746 0.3746 0.3746 1
Re1 Re 0.0000 0.0000 0.0000 1
Au1 Au 0.7500 0.7500 0.7500 1
```

Summary:
Calculated total energy = -3.61 eV per atom
Space-group type = F-43m, No. 216
Total magnetic moment = 4.13 μB/f.u.
Energy relative to the elements, uncorrected = 1.33 eV per atom



Below is a relaxed structure of InRe2W, with properties calculated at the PBE level.

Geometry as CIF:
```
data_InRe2W
_chemical_formula_sum 'In1 Re2 W1'
_cell_length_a 5.0988
_cell_length_b 5.0988
_cell_length_c 4.6729
_cell_angle_alpha 73.87
_cell_angle_beta 73.87
_cell_angle_gamma 34.74
_symmetry_space_group_name_H-M 'P 1'
_symmetry_Int_Tables_number 1
loop_
_symmetry_equiv_pos_as_xyz
'x,y,z'
loop_
_atom_site_label
_atom_site_type_symbol
_atom_site_fract_x
_atom_site_fract_y
_atom_site_fract_z
_atom_site_occupancy
In1 In 0.2526 0.2526 0.2481 1
Re1 Re 0.7472 0.7472 0.7533 1
Re2 Re 0.0127 0.0127 0.9751 1
W1 W 0.4876 0.4876 0.5236 1
```

Summary:
Calculated total energy = -9.71 eV per atom
Formation energy = 1.77 eV per formula unit
Space-group type = Cm, No. 8
Total magnetic moment = 0.00 μB/f.u.



Below is a relaxed structure of Tb4Ga12Au, with properties calculated at the PBE level.

Geometry as CIF:
```
data_Tb4Ga12Au
_chemical_formula_sum 'Tb4 Ga12 Au1'
_cell_length_a 7.5321
_cell_length_b 7.5321
_cell_length_c 7.5321
_cell_angle_alpha 109.47
_cell_angle_beta 109.47
_cell_angle_gamma 109.47
_symmetry_space_group_name_H-M 'P 1'
_symmetry_Int_Tables_number 1
loop_
_symmetry_equiv_pos_as_xyz
'x,y,z'
loop_
_atom_site_label
_atom_site_type_symbol
_atom_site_fract_x
_atom_site_fract_y
_atom_site_fract_z
_atom_site_occupancy
Ga1 Ga 0.7500 0.2500 0.5000 1
Ga2 Ga 0.2500 0.5000 0.7500 1
Ga3 Ga 0.5000 0.2500 0.7500 1
Ga4 Ga 0.0000 0.3041 0.3041 1
Ga5 Ga 0.7500 0.5000 0.2500 1
Ga6 Ga 0.3041 0.3041 0.0000 1
Ga7 Ga 0.6959 0.6959 0.0000 1
Ga8 Ga 0.2500 0.7500 0.5000 1
Ga9 Ga 0.3041 0.0000 0.3041 1
Ga10 Ga 0.0000 0.6959 0.6959 1
Ga11 Ga 0.5000 0.7500 0.2500 1
Ga12 Ga 0.6959 0.0000 0.6959 1
Tb1 Tb 0.5000 0.0000 0.0000 1
Tb2 Tb 0.5000 0.5000 0.5000 1
Tb3 Tb 0.0000 0.0000 0.5000 1
Tb4 Tb 0.0000 0.5000 0.0000 1
Au1 Au 0.0000 0.0000 0.0000 1
```

Summary:
Calculated total energy = -3.97 eV per atom
Formation energy = -9.43 eV per formula unit
Space-group type = Im-3m, No. 229
Total magnetic moment = 0.00 μB/f.u.